Entry 1:
Entry from Alexandria via LeMat-Bulk: an optimized crystal structure of Li2Tm3Cd7 (PBE).

Results
- D(E_F): 7.35 states/eV per cell
- Space-group type: Cmmm
- Distance to the lowest polymorph of the same formula: 0 meV per atom
- ΔH_f (0 K): -161 meV/atom

Unit cell a=15.3168 b=15.3168 c=3.6999 alpha=90.00 beta=90.00 gamma=161.43
Sites, in units of the cell vectors:
1 Li 0.1401 0.8599 0.0000
2 Li 0.8599 0.1401 0.0000
3 Tm 0.3177 0.6823 0.5000
4 Tm 0.5000 0.5000 0.5000
5 Tm 0.6823 0.3177 0.5000
6 Cd 0.0000 0.0000 0.0000
7 Cd 0.0762 0.9238 0.5000
8 Cd 0.2258 0.7742 0.0000
9 Cd 0.4081 0.5919 0.0000
10 Cd 0.5919 0.4081 0.0000
11 Cd 0.7742 0.2258 0.0000
12 Cd 0.9238 0.0762 0.5000

Entry 2:
Entry from Alexandria via LeMat-Bulk: an optimized crystal structure of Li2TmCd2 (PBE).

Results
- D(E_F): 6.88 states/eV per cell
- Space-group type: P4/mbm
- Distance to the lowest polymorph of the same formula: 40 meV per atom
- ΔH_f (0 K): -188 meV/atom

Unit cell a=8.0728 b=8.0728 c=3.1621 alpha=90.00 beta=90.00 gamma=90.00
Sites, in units of the cell vectors:
1 Li 0.1165 0.3835 0.0000
2 Li 0.3835 0.8835 0.0000
3 Li 0.6165 0.1165 0.0000
4 Li 0.8835 0.6165 0.0000
5 Tm 0.0000 0.0000 0.0000
6 Tm 0.5000 0.5000 0.0000
7 Cd 0.1819 0.6819 0.5000
8 Cd 0.3181 0.1819 0.5000
9 Cd 0.6819 0.8181 0.5000
10 Cd 0.8181 0.3181 0.5000

Entry 3:
Entry from Alexandria via LeMat-Bulk: an optimized crystal structure of LiTmCd5 (PBE).

Results
- D(E_F): 4.19 states/eV per cell
- Space-group type: Cmmm
- ΔH_f (0 K): -91 meV/atom

Unit cell a=5.3262 b=5.3262 c=6.4524 alpha=90.00 beta=90.00 gamma=110.31
Sites, in units of the cell vectors:
1 Li 0.0000 0.0000 0.0000
2 Tm 0.5000 0.5000 0.5000
3 Cd 0.0000 0.5000 0.2502
4 Cd 0.0000 0.5000 0.7498
5 Cd 0.5000 0.0000 0.2502
6 Cd 0.5000 0.0000 0.7498
7 Cd 0.5000 0.5000 0.0000

Entry 4:
Entry from Alexandria via LeMat-Bulk: an optimized crystal structure of LiTmCd (PBE).

Results
- D(E_F): 1.48 states/eV per cell
- Space-group type: I4mm
- Distance to the lowest polymorph of the same formula: 55 meV per atom
- ΔH_f (0 K): -121 meV/atom

Unit cell a=5.6083 b=5.6083 c=5.6083 alpha=141.31 beta=141.31 gamma=55.87
Sites, in units of the cell vectors:
1 Li 0.0000 0.0000 0.0000
2 Tm 0.3144 0.3144 0.0000
3 Cd 0.6358 0.6358 0.0000

Entry 5:
Entry from Alexandria via LeMat-Bulk: an optimized crystal structure of LiTmCd (PBE).

Results
- D(E_F): 1.57 states/eV per cell
- Space-group type: P-6m2
- Distance to the lowest polymorph of the same formula: 34 meV per atom
- ΔH_f (0 K): -142 meV/atom

Unit cell a=4.9559 b=4.9559 c=3.2045 alpha=90.00 beta=90.00 gamma=120.00
Sites, in units of the cell vectors:
1 Li 0.0000 0.0000 0.0000
2 Tm 0.6667 0.3333 0.5000
3 Cd 0.3333 0.6667 0.0000

Entry 6:
Entry from Alexandria via LeMat-Bulk: an optimized crystal structure of Li2YTmCd4 (PBE).

Results
- D(E_F): 5.54 states/eV per cell
- Space-group type: R-3m
- ΔH_f (0 K): -256 meV/atom

Unit cell a=8.7125 b=8.7125 c=8.7125 alpha=33.59 beta=33.59 gamma=33.59
Sites, in units of the cell vectors:
1 Li 0.2503 0.2503 0.2503
2 Li 0.7497 0.7497 0.7497
3 Y 0.5000 0.5000 0.5000
4 Tm 0.0000 0.0000 0.0000
5 Cd 0.1239 0.1239 0.1239
6 Cd 0.3739 0.3739 0.3739
7 Cd 0.6261 0.6261 0.6261
8 Cd 0.8761 0.8761 0.8761

Entry 7:
Entry from Alexandria via LeMat-Bulk: an optimized crystal structure of Li2Y2TmCd5 (PBE).

Results
- D(E_F): 11.03 states/eV per cell
- Space-group type: P4/mbm
- ΔH_f (0 K): -280 meV/atom

Unit cell a=10.4391 b=10.4391 c=4.1466 alpha=90.00 beta=90.00 gamma=90.00
Sites, in units of the cell vectors:
1 Li 0.1152 0.3848 0.0000
2 Li 0.3848 0.8848 0.0000
3 Li 0.6152 0.1152 0.0000
4 Li 0.8848 0.6152 0.0000
5 Y 0.1796 0.6796 0.0000
6 Y 0.3204 0.1796 0.0000
7 Y 0.6796 0.8204 0.0000
8 Y 0.8204 0.3204 0.0000
9 Tm 0.0000 0.0000 0.0000
10 Tm 0.5000 0.5000 0.0000
11 Cd 0.0000 0.5000 0.5000
12 Cd 0.0607 0.2148 0.5000
13 Cd 0.2148 0.9393 0.5000
14 Cd 0.2852 0.4393 0.5000
15 Cd 0.4393 0.7148 0.5000
16 Cd 0.5000 0.0000 0.5000
17 Cd 0.5607 0.2852 0.5000
18 Cd 0.7148 0.5607 0.5000
19 Cd 0.7852 0.0607 0.5000
20 Cd 0.9393 0.7852 0.5000

Entry 8:
Entry from Alexandria via LeMat-Bulk: an optimized crystal structure of LiTmZnCd (PBE).

Results
- D(E_F): 0.76 states/eV per cell
- Space-group type: F-43m
- ΔH_f (0 K): -260 meV/atom

Unit cell a=4.7583 b=4.7583 c=4.7583 alpha=60.00 beta=60.00 gamma=60.00
Sites, in units of the cell vectors:
1 Li 0.0000 0.0000 0.0000
2 Tm 0.2500 0.2500 0.2500
3 Zn 0.5000 0.5000 0.5000
4 Cd 0.7500 0.7500 0.7500